# V2NiHgO6

V2NiHgO6 after structural relaxation (PBE with a Hubbard U, Alexandria via LeMat-Bulk).

Results
The value obtained for the calculated total energy is -6.1695 eV per atom. As for the volume: 325.1 Å³/cell.

Lattice parameters (Å, degrees): 7.6828 7.6828 5.9981 106.35 106.35 81.48
Closest atoms and distances in Å follow each position.
Sites, in units of the cell vectors:
V 0.0981 0.2979 0.1791  4 O 1.69-1.82
V 0.2979 0.0981 0.6791  4 O 1.69-1.82
V 0.7021 0.9019 0.3209  4 O 1.69-1.82
V 0.9019 0.7021 0.8209  4 O 1.69-1.82
Ni 0.2932 0.7068 0.2500  4 O 2.00-2.02
Ni 0.7068 0.2932 0.7500  4 O 2.00-2.02
Hg 0.4358 0.5642 0.7500  1 Ni 2.72, 2 O 2.82
Hg 0.5642 0.4358 0.2500  1 Ni 2.72, 2 O 2.82
O 0.1299 0.7191 0.9287  1 V 1.70
O 0.1419 0.5195 0.2665  1 V 1.69
O 0.1818 0.2031 0.4395  2 V 1.80-1.82
O 0.2031 0.1818 0.9395  2 V 1.80-1.82
O 0.2809 0.8701 0.5713  1 V 1.70
O 0.4805 0.8581 0.2335  1 V 1.69
O 0.5195 0.1419 0.7665  1 V 1.69
O 0.7191 0.1299 0.4287  1 V 1.70
O 0.7969 0.8182 0.0605  2 V 1.80-1.82
O 0.8182 0.7969 0.5605  2 V 1.80-1.82
O 0.8581 0.4805 0.7335  1 V 1.69
O 0.8701 0.2809 0.0713  1 V 1.70